(1)
Computed, not measured: a relaxed BaAcTe2 crystal at the PBE level of DFT.

Total energy: -4.7143 eV/atom
V: 161.52 Å³/cell
SG: C2/m, No. 12

```
data_BaAcTe2
_chemical_formula_sum 'Ba1 Ac1 Te2'
_cell_length_a 4.817
_cell_length_b 4.821
_cell_length_c 8.493
_cell_angle_alpha 106.41
_cell_angle_beta 90.00
_cell_angle_gamma 119.97
_symmetry_space_group_name_H-M 'P 1'
_symmetry_Int_Tables_number 1
loop_
_symmetry_equiv_pos_as_xyz
'x,y,z'
loop_
_atom_site_label
_atom_site_type_symbol
_atom_site_fract_x
_atom_site_fract_y
_atom_site_fract_z
Ba1 Ba 0.500 0.500 0.000
Ac1 Ac 0.000 0.500 0.500
Te1 Te 0.254 0.009 0.263
Te2 Te 0.746 0.991 0.737
```

---

(2)
Computed, not measured: a relaxed DyPuZnHg crystal at the PBE level of DFT.

Total energy: -5.3250 eV/atom
Energy relative to the elements: -197.6 meV/atom
V: 99.05 Å³/cell
SG: F-43m, No. 216

```
data_DyPuZnHg
_chemical_formula_sum 'Dy1 Pu1 Zn1 Hg1'
_cell_length_a 5.193
_cell_length_b 5.193
_cell_length_c 5.193
_cell_angle_alpha 60.00
_cell_angle_beta 60.00
_cell_angle_gamma 60.00
_symmetry_space_group_name_H-M 'P 1'
_symmetry_Int_Tables_number 1
loop_
_symmetry_equiv_pos_as_xyz
'x,y,z'
loop_
_atom_site_label
_atom_site_type_symbol
_atom_site_fract_x
_atom_site_fract_y
_atom_site_fract_z
Zn1 Zn 0.250 0.250 0.250
Dy1 Dy 0.500 0.500 0.500
Hg1 Hg 0.750 0.750 0.750
Pu1 Pu 0.000 0.000 0.000
```

---

(3)
Computed, not measured: a relaxed PmPa4P5 crystal at the PBE level of DFT.

Total energy: -8.3454 eV/atom
Energy relative to the elements: -1367.0 meV/atom
V: 225.43 Å³/cell
SG: C2/m, No. 12

```
data_PmPa4P5
_chemical_formula_sum 'Pm1 Pa4 P5'
_cell_length_a 3.989
_cell_length_b 6.917
_cell_length_c 8.942
_cell_angle_alpha 75.20
_cell_angle_beta 77.11
_cell_angle_gamma 73.24
_symmetry_space_group_name_H-M 'P 1'
_symmetry_Int_Tables_number 1
loop_
_symmetry_equiv_pos_as_xyz
'x,y,z'
loop_
_atom_site_label
_atom_site_type_symbol
_atom_site_fract_x
_atom_site_fract_y
_atom_site_fract_z
Pm1 Pm 0.000 0.000 0.000
Pa1 Pa 0.598 0.203 0.601
Pa2 Pa 0.201 0.394 0.204
Pa3 Pa 0.799 0.606 0.796
Pa4 Pa 0.402 0.797 0.399
P1 P 0.201 0.903 0.695
P2 P 0.799 0.097 0.305
P3 P 0.394 0.313 0.898
P4 P 0.000 0.500 0.500
P5 P 0.606 0.687 0.102
```

---

(4)
Computed, not measured: a relaxed Rb2TbB2S6 crystal at the PBE level of DFT.

Total energy: -5.0287 eV/atom
V: 297.37 Å³/cell
SG: C2/m, No. 12

```
data_Rb2TbB2S6
_chemical_formula_sum 'Rb2 Tb1 B2 S6'
_cell_length_a 6.675
_cell_length_b 6.778
_cell_length_c 8.528
_cell_angle_alpha 113.85
_cell_angle_beta 90.00
_cell_angle_gamma 119.50
_symmetry_space_group_name_H-M 'P 1'
_symmetry_Int_Tables_number 1
loop_
_symmetry_equiv_pos_as_xyz
'x,y,z'
loop_
_atom_site_label
_atom_site_type_symbol
_atom_site_fract_x
_atom_site_fract_y
_atom_site_fract_z
Rb1 Rb 0.704 0.409 0.170
Rb2 Rb 0.296 0.591 0.830
Tb1 Tb 0.500 0.000 0.500
B1 B 0.925 0.850 0.714
B2 B 0.075 0.150 0.286
S1 S 0.760 0.520 0.668
S2 S 0.215 0.968 0.245
S3 S 0.248 0.032 0.755
S4 S 0.785 0.032 0.755
S5 S 0.752 0.968 0.245
S6 S 0.240 0.480 0.332
```